[1]
DFT (PBE) results for a relaxed structure of CoCN.

a = 3.1292 Å, b = 2.6953 Å, c = 6.6544 Å
α = 90.00°, β = 104.66°, γ = 90.00°
Last column: nearest neighbours and their distance in Å.
Fractional coordinates of all 6 atoms:
1 C 0.2197 0.0000 0.9299  1 N 1.28
2 C 0.2197 0.5000 0.4299  1 N 1.28
3 Co 0.7507 0.0000 0.3744  3 N 1.93-2.07, 2 C 1.96
4 Co 0.7507 0.5000 0.8744  3 N 1.93-2.07, 2 C 1.96
5 N 0.5759 0.0000 0.0751  1 C 1.28
6 N 0.5759 0.5000 0.5751  1 C 1.28

Computed properties:
* density of states at the Fermi level: 4.9 states/eV/cell
* relative energy among the computed polymorphs: 6.73 kcal/mol of atoms
* crystal system: monoclinic
* formation energy without anion corrections: 0.663 eV per atom



[2]
DFT (PBE) results for a relaxed structure of BaHgAu2.

a = 4.7365 Å, b = 4.7365 Å, c = 21.7971 Å
α = 90.00°, β = 90.00°, γ = 90.00°
Last column: nearest neighbours and their distance in Å.
Fractional coordinates of all 16 atoms:
1 Ba 0.8851 0.1187 0.3762  7 Au 3.30-3.52, 1 Hg 3.69
2 Ba 0.8813 0.8851 0.6262  7 Au 3.30-3.52, 1 Hg 3.69
3 Ba 0.1187 0.1149 0.1262  7 Au 3.30-3.52, 1 Hg 3.69
4 Ba 0.1149 0.8813 0.8762  7 Au 3.30-3.52, 1 Hg 3.69
5 Hg 0.6236 0.3229 0.9662  4 Au 2.86-2.98
6 Hg 0.6771 0.6236 0.2162  4 Au 2.86-2.98
7 Hg 0.3229 0.3764 0.7162  4 Au 2.86-2.98
8 Hg 0.3764 0.6771 0.4662  4 Au 2.86-2.98
9 Au 0.3776 0.3713 0.5855  2 Au 2.81-2.83, 2 Hg 2.86-2.98
10 Au 0.6287 0.3776 0.8355  2 Au 2.81-2.83, 2 Hg 2.86-2.98
11 Au 0.3713 0.6224 0.3355  2 Au 2.81-2.83, 2 Hg 2.86-2.98
12 Au 0.6224 0.6287 0.0855  2 Au 2.81-2.83, 2 Hg 2.86-2.98
13 Au 0.8749 0.4074 0.5159  2 Au 2.81-2.83, 2 Hg 2.89-2.91
14 Au 0.5926 0.8749 0.7659  2 Au 2.81-2.83, 2 Hg 2.89-2.91
15 Au 0.4074 0.1251 0.2659  2 Au 2.81-2.83, 2 Hg 2.89-2.91
16 Au 0.1251 0.5926 0.0159  2 Au 2.81-2.83, 2 Hg 2.89-2.91

Computed properties:
* density of states at the Fermi level: 7.3 states/eV/cell
* total energy: -2.65 eV per atom
* crystal system: tetragonal



[3]
DFT (PBE) results for a relaxed structure of CeHoPuTl.

a = 5.3522 Å, b = 5.3522 Å, c = 5.3522 Å
α = 60.00°, β = 60.00°, γ = 60.00°
Last column: nearest neighbours and their distance in Å.
Fractional coordinates of all 4 atoms:
1 Tl 0.0000 0.0000 0.0000  4 Ho 3.28, 4 Pu 3.28
2 Ho 0.2500 0.2500 0.2500  4 Tl 3.28, 4 Ce 3.28
3 Ce 0.5000 0.5000 0.5000  4 Ho 3.28, 4 Pu 3.28
4 Pu 0.7500 0.7500 0.7500  4 Ce 3.28, 4 Tl 3.28

Computed properties:
* density of states at the Fermi level: 8.2 states/eV/cell
* total energy: -6.76 eV per atom
* crystal system: cubic



[4]
DFT (PBE) results for a relaxed structure of RbHg3Ge.

a = 6.7531 Å, b = 6.7531 Å, c = 6.7531 Å
α = 90.00°, β = 90.00°, γ = 90.00°
Last column: nearest neighbours and their distance in Å.
Fractional coordinates of all 5 atoms:
1 Ge 0.5000 0.5000 0.5000  12 Hg 4.78
2 Hg 0.0000 0.5000 0.0000  2 Rb 3.38
3 Hg 0.0000 0.0000 0.5000  2 Rb 3.38
4 Hg 0.5000 0.0000 0.0000  2 Rb 3.38
5 Rb 0.0000 0.0000 0.0000  6 Hg 3.38

Computed properties:
* density of states at the Fermi level: 5.1 states/eV/cell
* relative energy among the computed polymorphs: 15.86 kcal/mol of atoms
* crystal system: cubic



[5]
DFT (PBE) results for a relaxed structure of KH2Pd2.

a = 5.8073 Å, b = 5.8073 Å, c = 5.9988 Å
α = 118.95°, β = 118.95°, γ = 90.00°
Last column: nearest neighbours and their distance in Å.
Fractional coordinates of all 10 atoms:
1 K 0.0000 0.0000 0.0000  2 H 2.41
2 K 0.2500 0.7500 0.5000  2 H 2.41
3 H 0.7242 0.7242 0.4484  2 Pd 1.69
4 H 0.5258 0.0258 0.0516  2 Pd 1.69
5 H 0.2758 0.2758 0.5516  2 Pd 1.69
6 H 0.9742 0.4742 0.9484  2 Pd 1.69
7 Pd 0.1250 0.3750 0.7500  2 H 1.69
8 Pd 0.6250 0.3750 0.2500  2 H 1.69
9 Pd 0.6250 0.8750 0.2500  2 H 1.69
10 Pd 0.6250 0.3750 0.7500  2 H 1.69

Computed properties:
* density of states at the Fermi level: 3.8 states/eV/cell
* relative energy among the computed polymorphs: 0.64 kcal/mol of atoms
* crystal system: tetragonal



[6]
DFT (PBE) results for a relaxed structure of Cd5Bi2.

a = 3.4436 Å, b = 9.2029 Å, c = 12.1495 Å
α = 100.54°, β = 98.15°, γ = 90.00°
Last column: nearest neighbours and their distance in Å.
Fractional coordinates of all 14 atoms:
1 Cd 0.2168 0.6147 0.4557  4 Cd 3.02-3.11, 2 Bi 3.17-3.21
2 Cd 0.7611 0.8853 0.5443  4 Cd 3.02-3.11, 2 Bi 3.17-3.21
3 Cd 0.7832 0.3853 0.5443  4 Cd 3.02-3.11, 2 Bi 3.17-3.21
4 Cd 0.2389 0.1147 0.4557  4 Cd 3.02-3.11, 2 Bi 3.17-3.21
5 Cd 0.9959 0.2500 0.0000  10 Cd 3.19-3.44, 2 Bi 3.28
6 Cd 0.0041 0.7500 0.0000  10 Cd 3.19-3.44, 2 Bi 3.28
7 Cd 0.5871 0.5335 0.1271  5 Cd 3.01-3.31, 2 Bi 3.12-3.13
8 Cd 0.4600 0.9665 0.8729  5 Cd 3.01-3.31, 2 Bi 3.12-3.13
9 Cd 0.4129 0.4665 0.8729  5 Cd 3.01-3.31, 2 Bi 3.12-3.13
10 Cd 0.5400 0.0335 0.1271  5 Cd 3.01-3.31, 2 Bi 3.12-3.13
11 Bi 0.7153 0.6754 0.7265  6 Cd 3.12-3.44, 2 Bi 3.44
12 Bi 0.9888 0.8246 0.2735  6 Cd 3.12-3.44, 2 Bi 3.44
13 Bi 0.2848 0.3246 0.2735  6 Cd 3.12-3.44, 2 Bi 3.44
14 Bi 0.0112 0.1754 0.7265  6 Cd 3.12-3.44, 2 Bi 3.44

Computed properties:
* density of states at the Fermi level: 5.2 states/eV/cell
* relative energy among the computed polymorphs: 0.07 kcal/mol of atoms
* crystal system: monoclinic



[7]
DFT (PBE) results for a relaxed structure of PmP3Rh6.

a = 5.7736 Å, b = 5.6371 Å, c = 5.7823 Å
α = 88.32°, β = 105.43°, γ = 119.50°
Last column: nearest neighbours and their distance in Å.
Fractional coordinates of all 10 atoms:
1 Pm 0.9396 0.9716 0.8431  2 P 2.87-3.18, 7 Rh 2.90-3.19
2 P 0.6643 0.3270 0.9790  6 Rh 2.29-2.36
3 P 0.3289 0.6732 0.9840  6 Rh 2.28-2.36
4 P 0.1236 0.0614 0.3608  5 Rh 2.36-2.44
5 Rh 0.3807 0.4404 0.6882  3 P 2.33-2.44
6 Rh 0.0817 0.6276 0.2473  3 P 2.28-2.43
7 Rh 0.6902 0.0391 0.2765  3 P 2.36
8 Rh 0.4006 0.9562 0.6836  3 P 2.30-2.38
9 Rh 0.8991 0.4635 0.6905  2 P 2.31-2.33
10 Rh 0.4912 0.4400 0.2471  3 P 2.29-2.39

Computed properties:
* density of states at the Fermi level: 4.5 states/eV/cell
* total energy: -7.27 eV per atom
* crystal system: triclinic



[8]
DFT (PBE) results for a relaxed structure of Sr5LaTl6.

a = 5.7695 Å, b = 8.1402 Å, c = 9.1310 Å
α = 90.00°, β = 71.84°, γ = 90.00°
Last column: nearest neighbours and their distance in Å.
Fractional coordinates of all 12 atoms:
1 Sr 0.6675 0.5000 0.6654  8 Tl 3.55-3.60
2 Sr 0.3303 0.0000 0.3390  8 Tl 3.51-3.54
3 Sr 0.0000 0.5000 0.0000  8 Tl 3.50-3.57
4 Sr 0.6697 0.0000 0.6610  8 Tl 3.51-3.54
5 Sr 0.3325 0.5000 0.3346  8 Tl 3.55-3.60
6 Tl 0.8374 0.7540 0.3257  1 La 3.46, 7 Sr 3.50-3.60
7 Tl 0.8374 0.2460 0.3257  1 La 3.46, 7 Sr 3.50-3.60
8 Tl 0.5000 0.2410 0.0000  2 La 3.49, 6 Sr 3.54-3.59
9 Tl 0.5000 0.7590 0.0000  2 La 3.49, 6 Sr 3.54-3.59
10 Tl 0.1626 0.7540 0.6743  1 La 3.46, 7 Sr 3.50-3.60
11 Tl 0.1626 0.2460 0.6743  1 La 3.46, 7 Sr 3.50-3.60
12 La 0.0000 0.0000 0.0000  8 Tl 3.46-3.49

Computed properties:
* density of states at the Fermi level: 7.8 states/eV/cell
* total energy: -2.72 eV per atom
* crystal system: monoclinic